Compound: TbSN
Source: the Alexandria database
Functional: PBE
Structure: optimized geometry

Cell lengths 12.5776, 3.4536, 6.7463 Å; angles 90.00, 109.18, 90.00 degrees
Closest atoms and distances in Å follow each position.
Space group C2/m (No. 12)
Inequivalent atoms, fractional coordinates:
Tb (0.0000, 0.0000, 0.0000) (multiplicity 2)  4 N 2.44
Tb (0.0000, 0.0000, 0.5000) (multiplicity 2)  4 N 2.44
S (0.1262, 0.5000, 0.3282) (multiplicity 4)  1 N 1.84
N (0.0289, 0.5000, 0.7682) (multiplicity 4)  1 S 1.84

The value obtained for the total magnetization is 0.00 μB/cell. The value obtained for the density of states at the Fermi level is 0.08 states/eV/atom. For the offset from the most stable computed form, the calculation gives 0.571 eV/f.u. The raw formation energy comes out at -92.5 kJ/mol of atoms.

***

Compound: Y2MgCrCd
Source: the Alexandria database
Functional: PBE
Structure: optimized geometry

Cell lengths 5.6234, 5.6234, 4.7894 Å; angles 90.00, 90.00, 90.00 degrees
Closest atoms and distances in Å follow each position.
Space group P4/mmm (No. 123)
Inequivalent atoms, fractional coordinates:
Y (0.0000, 0.5000, 0.0000) (multiplicity 2)  2 Mg 2.81
Mg (0.0000, 0.0000, 0.0000) (multiplicity 1)  2 Cr 2.39
Cr (0.0000, 0.0000, 0.5000) (multiplicity 1)  2 Mg 2.39
Cd (0.5000, 0.5000, 0.5000) (multiplicity 1)  8 Y 3.69, 4 Cr 3.98

The value obtained for the total magnetization is 3.79 μB/cell. The value obtained for the density of states at the Fermi level is 1.09 states/eV/atom. The calculation puts the formation energy at 783 meV per atom.

***

Compound: La3Er3Tm8
Source: the Alexandria database
Functional: PBE
Structure: optimized geometry

Cell lengths 5.6155, 10.7542, 15.0589 Å; angles 90.00, 90.00, 90.00 degrees
Closest atoms and distances in Å follow each position.
Space group Immm (No. 71)
Inequivalent atoms, fractional coordinates:
La (0.0000, 0.0000, 0.0000) (multiplicity 2)  4 Er 3.57, 4 La 3.96, 4 Tm 3.99
La (0.0000, 0.5000, 0.3142) (multiplicity 4)  2 Er 3.56, 8 Tm 3.60-3.67, 2 La 3.96
Er (0.0000, 0.0000, 0.5000) (multiplicity 2)  2 Er 3.17
Er (0.0000, 0.2948, 0.5000) (multiplicity 4)  1 Er 3.17, 4 Tm 3.52
Tm (0.0000, 0.1619, 0.2809) (multiplicity 8)  6 Tm 3.32-3.51, 1 Er 3.60, 3 La 3.60-3.67
Tm (0.0000, 0.3426, 0.1017) (multiplicity 8)  5 Tm 3.06-3.38

The value obtained for the total magnetization is 0.00 μB/cell. The value obtained for the density of states at the Fermi level is 1.70 states/eV/atom. The calculation puts the formation energy at 108 meV per atom.

***

Compound: Gd2InGa
Source: the Alexandria database
Functional: PBE
Structure: optimized geometry

Cell lengths 3.5636, 3.5636, 8.0340 Å; angles 90.00, 90.00, 90.00 degrees
Closest atoms and distances in Å follow each position.
Space group P4/mmm (No. 123)
Inequivalent atoms, fractional coordinates:
Gd (0.0000, 0.0000, 0.2334) (multiplicity 2)  4 Ga 3.14, 4 In 3.31
In (0.5000, 0.5000, 0.5000) (multiplicity 1)  8 Gd 3.31, 4 In 3.56
Ga (0.5000, 0.5000, 0.0000) (multiplicity 1)  8 Gd 3.14

The value obtained for the total magnetization is 14.42 μB/cell. The value obtained for the density of states at the Fermi level is 0.55 states/eV/atom. For the offset from the most stable computed form, the calculation gives 0.000 eV/f.u. The calculation puts the formation energy at -535 meV per atom.

***

Compound: Nd3SmDy2Te6
Source: the Alexandria database
Functional: PBE
Structure: optimized geometry

Cell lengths 19.4073, 4.4053, 8.9595 Å; angles 90.00, 103.91, 90.00 degrees
Closest atoms and distances in Å follow each position.
Space group C2/m (No. 12)
Inequivalent atoms, fractional coordinates:
Nd (0.0000, 0.0000, 0.0000) (multiplicity 2)  6 Te 3.16-3.20
Nd (0.1636, 0.5000, 0.3326) (multiplicity 4)  6 Te 3.15-3.21
Sm (0.0000, 0.0000, 0.5000) (multiplicity 2)  6 Te 3.12-3.15
Dy (0.1654, 0.5000, 0.8308) (multiplicity 4)  6 Te 3.05-3.10
Te (0.0037, 0.5000, 0.7490) (multiplicity 4)  1 Dy 3.05, 2 Sm 3.12, 3 Nd 3.15-3.16
Te (0.1672, 0.0000, 0.5914) (multiplicity 4)  2 Dy 3.08, 1 Sm 3.15, 3 Nd 3.19
Te (0.1700, 0.0000, 0.0764) (multiplicity 4)  3 Dy 3.10, 3 Nd 3.20-3.21

The value obtained for the total magnetization is 0.00 μB/cell. The value obtained for the density of states at the Fermi level is 0.53 states/eV/atom. The raw formation energy comes out at -132.3 kJ/mol of atoms.

***

Compound: Sr3LaSb2As
Source: the Alexandria database
Functional: PBE
Structure: optimized geometry

Cell lengths 5.6145, 5.6967, 17.1822 Å; angles 90.00, 90.00, 90.00 degrees
Closest atoms and distances in Å follow each position.
Space group Immm (No. 71)
Inequivalent atoms, fractional coordinates:
Sr (0.0000, 0.0000, 0.0000) (multiplicity 2)  2 As 2.81
Sr (0.0000, 0.5000, 0.3202) (multiplicity 4)  1 As 3.09, 1 Sb 3.29
La (0.0000, 0.0000, 0.5000) (multiplicity 2)  2 As 2.85
Sb (0.0000, 0.5000, 0.1288) (multiplicity 4)  3 Sr 3.29-3.61, 2 La 3.57
As (0.0000, 0.5000, 0.5000) (multiplicity 2)  4 Sr 2.81-3.09, 2 La 2.85

The value obtained for the total magnetization is 0.00 μB/cell. The value obtained for the density of states at the Fermi level is 0.00 states/eV/atom. The raw formation energy comes out at -95.2 kJ/mol of atoms.

***

Compound: Zn2Sb2Cl
Source: the Alexandria database
Functional: PBE
Structure: optimized geometry

Cell lengths 4.3465, 4.3465, 13.2360 Å; angles 90.00, 90.00, 90.00 degrees
Closest atoms and distances in Å follow each position.
Space group I4/mmm (No. 139)
Inequivalent atoms, fractional coordinates:
Zn (0.0000, 0.0000, 0.0920) (multiplicity 4)  1 Zn 2.44
Sb (0.0000, 0.5000, 0.2500) (multiplicity 4)  4 Zn 3.02, 4 Sb 3.07
Cl (0.0000, 0.0000, 0.5000) (multiplicity 2)  8 Zn 3.31

The value obtained for the total magnetization is 0.00 μB/cell. The value obtained for the density of states at the Fermi level is 0.46 states/eV/atom. For the offset from the most stable computed form, the calculation gives 0.000 eV/f.u. The raw formation energy comes out at 4.6 kJ/mol of atoms.

***

Compound: Pr2Nd2Y3
Source: the Alexandria database
Functional: PBE
Structure: optimized geometry

Cell lengths 6.3007, 6.3137, 6.3236 Å; angles 99.83, 99.80, 99.37 degrees
Closest atoms and distances in Å follow each position.
Space group P-1 (No. 2)
Inequivalent atoms, fractional coordinates:
Pr (0.2150, 0.4287, 0.3557) (multiplicity 2)  6 Y 3.63-3.66, 2 Pr 3.63-3.66, 4 Nd 3.63-3.67
Nd (0.0721, 0.1424, 0.7858) (multiplicity 2)  6 Y 3.62-3.66, 4 Pr 3.63-3.67, 2 Nd 3.64-3.66
Y (0.3585, 0.7165, 0.9289) (multiplicity 2)  4 Y 3.62-3.65, 4 Nd 3.62-3.66, 4 Pr 3.63-3.66
Y (0.5000, 0.0000, 0.5000) (multiplicity 1)  4 Y 3.64-3.65, 4 Nd 3.64, 4 Pr 3.64

The value obtained for the total magnetization is 0.00 μB/cell. The value obtained for the density of states at the Fermi level is 1.50 states/eV/atom. For the offset from the most stable computed form, the calculation gives 0.000 eV/f.u. The calculation puts the formation energy at 14 meV per atom.

***

Compound: AlNiPt2
Source: the Alexandria database
Functional: PBE
Structure: optimized geometry

Cell lengths 5.5620, 6.9438, 2.8809 Å; angles 90.00, 90.00, 90.00 degrees
Closest atoms and distances in Å follow each position.
Space group Cmmm (No. 65)
Inequivalent atoms, fractional coordinates:
Al (0.0000, 0.0000, 0.0000) (multiplicity 2)  8 Pt 2.65, 2 Ni 2.78, 2 Al 2.88
Ni (0.0000, 0.5000, 0.0000) (multiplicity 2)  8 Pt 2.65, 2 Al 2.78, 2 Ni 2.88
Pt (0.2500, 0.2500, 0.5000) (multiplicity 4)  4 Ni 2.65, 4 Al 2.65, 4 Pt 2.78-2.88

The value obtained for the total magnetization is 0.02 μB/cell. The value obtained for the density of states at the Fermi level is 0.81 states/eV/atom. The calculation puts the formation energy at -644 meV per atom.

***

Compound: BeFeAg2
Source: the Alexandria database
Functional: PBE
Structure: optimized geometry

Cell lengths 3.9382, 3.9382, 7.4302 Å; angles 90.00, 90.00, 90.00 degrees
Closest atoms and distances in Å follow each position.
Space group I-4m2 (No. 119)
Inequivalent atoms, fractional coordinates:
Be (0.0000, 0.0000, 0.0000) (multiplicity 2)  4 Fe 2.71, 8 Ag 2.71-2.78
Fe (0.0000, 0.5000, 0.7500) (multiplicity 2)  4 Be 2.71, 8 Ag 2.71-2.78
Ag (0.0000, 0.0000, 0.5000) (multiplicity 2)  4 Fe 2.71, 4 Ag 2.71, 4 Be 2.78
Ag (0.0000, 0.5000, 0.2500) (multiplicity 2)  4 Be 2.71, 4 Ag 2.71, 4 Fe 2.78

The value obtained for the total magnetization is 5.35 μB/cell. The value obtained for the density of states at the Fermi level is 0.92 states/eV/atom. The calculation puts the formation energy at 433 meV per atom.

***

Compound: Ba2LiMoN4
Source: the Alexandria database
Functional: PBE
Structure: optimized geometry

Cell lengths 6.0234, 7.8372, 6.4267 Å; angles 90.00, 90.00, 90.00 degrees
Closest atoms and distances in Å follow each position.
Space group Pmmn (No. 59, origin choice 2)
Inequivalent atoms, fractional coordinates:
Ba (0.2500, 0.0006, 0.2410) (multiplicity 4)  5 N 2.70-2.97
Li (0.2500, 0.2500, 0.8145) (multiplicity 2)  2 N 2.01
Mo (0.2500, 0.7500, 0.8067) (multiplicity 2)  4 N 1.87-1.89
N (0.0034, 0.7500, 0.9832) (multiplicity 4)  1 Mo 1.87, 1 Li 2.01
N (0.2500, 0.5421, 0.6576) (multiplicity 4)  1 Mo 1.89

The value obtained for the total magnetization is 2.06 μB/cell. The value obtained for the density of states at the Fermi level is 0.42 states/eV/atom. The raw formation energy comes out at -58.3 kJ/mol of atoms.

***

Compound: Ti3TcCl
Source: the Alexandria database
Functional: PBE
Structure: optimized geometry

Cell lengths 4.3835, 4.3835, 4.3835 Å; angles 90.00, 90.00, 90.00 degrees
Closest atoms and distances in Å follow each position.
Space group Pm-3m (No. 221)
Inequivalent atoms, fractional coordinates:
Ti (0.0000, 0.0000, 0.5000) (multiplicity 3)  2 Cl 2.19
Tc (0.5000, 0.5000, 0.5000) (multiplicity 1)  12 Ti 3.10
Cl (0.0000, 0.0000, 0.0000) (multiplicity 1)  6 Ti 2.19

The value obtained for the total magnetization is 0.00 μB/cell. The value obtained for the density of states at the Fermi level is 0.82 states/eV/atom. For the offset from the most stable computed form, the calculation gives 0.000 eV/f.u. The raw formation energy comes out at 20.7 kJ/mol of atoms.

***

Compound: Ni2HgBi2
Source: the Alexandria database
Functional: PBE
Structure: optimized geometry

Cell lengths 7.1936, 7.1936, 3.9159 Å; angles 90.00, 90.00, 90.00 degrees
Closest atoms and distances in Å follow each position.
Space group P4/mbm (No. 127)
Inequivalent atoms, fractional coordinates:
Ni (0.1281, 0.3719, 0.0000) (multiplicity 4)  1 Ni 2.61, 2 Hg 2.83, 6 Bi 2.88-2.89
Hg (0.0000, 0.0000, 0.0000) (multiplicity 2)  4 Ni 2.83
Bi (0.1631, 0.6631, 0.5000) (multiplicity 4)  6 Ni 2.88-2.89

The value obtained for the total magnetization is 0.00 μB/cell. The value obtained for the density of states at the Fermi level is 0.70 states/eV/atom. For the offset from the most stable computed form, the calculation gives 0.269 eV/f.u. The calculation puts the formation energy at 145 meV per atom.